# KSc2Mn

An optimized crystal structure of KSc2Mn (PBEsol, the Alexandria database).

a b c (Å): 3.5557 3.5557 8.6576
angles (deg): 90.00 90.00 90.00
Positions (direct):
K 0.0000 0.0000 0.0000
Sc 0.0000 0.0000 0.4083
Sc 0.5000 0.5000 0.6258
Mn 0.5000 0.5000 0.3185

Output
Calculated total energy   -5.49 eV/atom
Spin magnetization   0.47 μB/atom
E_form   0.538 eV per atom
D(E_F)   5.05 states/eV per cell

=====

# KSc2Mn

An optimized crystal structure of KSc2Mn (PBEsol, the Alexandria database).

a b c (Å): 5.5241 5.5241 3.2340
angles (deg): 90.00 90.00 106.68
Positions (direct):
K 0.0000 0.0000 0.0000
Sc 0.0000 0.5000 0.5000
Sc 0.5000 0.0000 0.5000
Mn 0.5000 0.5000 0.0000

Output
Calculated total energy   -5.09 eV/atom
Spin magnetization   0.45 μB/atom
E_form   0.934 eV per atom
D(E_F)   5.72 states/eV per cell

=====

# KSc2Mn

An optimized crystal structure of KSc2Mn (PBEsol, the Alexandria database).

a b c (Å): 5.0689 5.0689 5.0689
angles (deg): 60.00 60.00 60.00
Positions (direct):
K 0.0000 0.0000 0.0000
Sc 0.2500 0.2500 0.2500
Sc 0.7500 0.7500 0.7500
Mn 0.5000 0.5000 0.5000

Output
Calculated total energy   -5.18 eV/atom
Spin magnetization   0.82 μB/atom
E_form   0.845 eV per atom
D(E_F)   6.30 states/eV per cell

=====

# KSc2Mn

An optimized crystal structure of KSc2Mn (PBEsol, the Alexandria database).

a b c (Å): 5.1856 5.1856 5.1856
angles (deg): 60.00 60.00 60.00
Positions (direct):
K 0.0000 0.0000 0.0000
Sc 0.2500 0.2500 0.2500
Sc 0.5000 0.5000 0.5000
Mn 0.7500 0.7500 0.7500

Output
Calculated total energy   -5.04 eV/atom
Spin magnetization   0.51 μB/atom
E_form   0.984 eV per atom
D(E_F)   7.87 states/eV per cell

=====

# KSc2Mn

An optimized crystal structure of KSc2Mn (PBEsol, the Alexandria database).

a b c (Å): 10.5661 10.5661 10.5661
angles (deg): 18.03 18.03 18.03
Positions (direct):
K 0.0000 0.0000 0.0000
Sc 0.2208 0.2208 0.2208
Sc 0.7792 0.7792 0.7792
Mn 0.5000 0.5000 0.5000

Output
Calculated total energy   -5.53 eV/atom
Spin magnetization   0.00 μB/atom
E_form   0.499 eV per atom
D(E_F)   4.71 states/eV per cell

=====

# KMn2Se

An optimized crystal structure of KMn2Se (PBEsol, the Alexandria database).

a b c (Å): 6.1257 6.1257 2.8012
angles (deg): 90.00 90.00 123.05
Positions (direct):
K 0.0000 0.0000 0.0000
Mn 0.0000 0.5000 0.5000
Mn 0.5000 0.0000 0.5000
Se 0.5000 0.5000 0.0000

Output
Calculated total energy   -5.23 eV/atom
Spin magnetization   2.15 μB/atom
Formation energy without anion corrections   894 meV per atom
D(E_F)   2.37 states/eV per cell

=====

# K2MnSe

An optimized crystal structure of K2MnSe (PBEsol, the Alexandria database).

a b c (Å): 3.6708 3.6708 9.9379
angles (deg): 90.00 90.00 90.00
Positions (direct):
K 0.0000 0.0000 0.0000
K 0.5000 0.5000 0.3974
Mn 0.5000 0.5000 0.7171
Se 0.0000 0.0000 0.6711

Output
Calculated total energy   -3.97 eV/atom
Spin magnetization   0.98 μB/atom
Formation energy without anion corrections   4 meV per atom
D(E_F)   2.62 states/eV per cell

=====

# KMnSe2

An optimized crystal structure of KMnSe2 (PBEsol, the Alexandria database).

a b c (Å): 4.3167 3.5087 7.0998
angles (deg): 90.00 98.19 90.00
Positions (direct):
K 0.0000 0.0000 0.0000
Mn 0.5000 0.0000 0.5000
Se 0.4294 0.5000 0.7245
Se 0.5706 0.5000 0.2755

Output
Calculated total energy   -5.26 eV/atom
Spin magnetization   1.00 μB/atom
Formation energy without anion corrections   -610 meV per atom

=====

# KMn2Se

An optimized crystal structure of KMn2Se (PBEsol, the Alexandria database).

a b c (Å): 3.2736 3.2736 8.2907
angles (deg): 90.00 90.00 90.00
Positions (direct):
K 0.0000 0.0000 0.0000
Mn 0.5000 0.5000 0.3468
Mn 0.5000 0.5000 0.6532
Se 0.0000 0.0000 0.5000

Output
Calculated total energy   -5.52 eV/atom
Spin magnetization   1.86 μB/atom
Formation energy without anion corrections   605 meV per atom
D(E_F)   3.54 states/eV per cell

=====

# K6MnSe4

An optimized crystal structure of K6MnSe4 (PBEsol, the Alexandria database).

a b c (Å): 10.1355 10.1355 7.8581
angles (deg): 90.00 90.00 120.00
Positions (direct):
K 0.0554 0.5277 0.0000
K 0.1467 0.2934 0.3217
K 0.1467 0.8533 0.3217
K 0.2934 0.1467 0.8217
K 0.4723 0.5277 0.0000
K 0.4723 0.9446 0.0000
K 0.5277 0.0554 0.5000
K 0.5277 0.4723 0.5000
K 0.7066 0.8533 0.3217
K 0.8533 0.1467 0.8217
K 0.8533 0.7066 0.8217
K 0.9446 0.4723 0.5000
Mn 0.3333 0.6667 0.6156
Mn 0.6667 0.3333 0.1156
Se 0.1959 0.3917 0.7154
Se 0.1959 0.8041 0.7154
Se 0.3333 0.6667 0.2932
Se 0.3917 0.1959 0.2154
Se 0.6083 0.8041 0.7154
Se 0.6667 0.3333 0.7932
Se 0.8041 0.1959 0.2154
Se 0.8041 0.6083 0.2154

Output
Calculated total energy   -3.92 eV/atom
Spin magnetization   0.45 μB/atom
Formation energy without anion corrections   -1011 meV per atom

=====

# KMnSe2

An optimized crystal structure of KMnSe2 (PBEsol, the Alexandria database).

a b c (Å): 3.5614 3.5614 8.1464
angles (deg): 90.00 90.00 90.00
Positions (direct):
K 0.0000 0.0000 0.0000
Mn 0.5000 0.5000 0.4802
Se 0.0000 0.0000 0.3938
Se 0.5000 0.5000 0.7676

Output
Calculated total energy   -5.05 eV/atom
Spin magnetization   1.02 μB/atom
Formation energy without anion corrections   -404 meV per atom
D(E_F)   2.32 states/eV per cell

=====

# K2MnSn2Se6

An optimized crystal structure of K2MnSn2Se6 (PBEsol, the Alexandria database).

a b c (Å): 8.1341 8.1341 19.4606
angles (deg): 90.00 90.00 90.00
Positions (direct):
K 0.2500 0.2500 0.0263
K 0.2500 0.2500 0.3220
K 0.2500 0.2500 0.5263
K 0.2500 0.2500 0.8220
K 0.7500 0.7500 0.1780
K 0.7500 0.7500 0.4737
K 0.7500 0.7500 0.6780
K 0.7500 0.7500 0.9737
Mn 0.2500 0.7500 0.0000
Mn 0.2500 0.7500 0.5000
Mn 0.7500 0.2500 0.0000
Mn 0.7500 0.2500 0.5000
Sn 0.2500 0.7500 0.1610
Sn 0.2500 0.7500 0.3390
Sn 0.2500 0.7500 0.6610
Sn 0.2500 0.7500 0.8390
Sn 0.7500 0.2500 0.1610
Sn 0.7500 0.2500 0.3390
Sn 0.7500 0.2500 0.6610
Sn 0.7500 0.2500 0.8390
Se 0.0648 0.5904 0.0812
Se 0.0648 0.9096 0.5812
Se 0.0824 0.5824 0.7500
Se 0.0824 0.9176 0.2500
Se 0.0904 0.5648 0.4188
Se 0.0904 0.9352 0.9188
Se 0.4096 0.5648 0.9188
Se 0.4096 0.9352 0.4188
Se 0.4176 0.5824 0.2500
Se 0.4176 0.9176 0.7500
Se 0.4352 0.5904 0.5812
Se 0.4352 0.9096 0.0812
Se 0.5648 0.0904 0.9188
Se 0.5648 0.4096 0.4188
Se 0.5824 0.0824 0.2500
Se 0.5824 0.4176 0.7500
Se 0.5904 0.0648 0.5812
Se 0.5904 0.4352 0.0812
Se 0.9096 0.0648 0.0812
Se 0.9096 0.4352 0.5812
Se 0.9176 0.0824 0.7500
Se 0.9176 0.4176 0.2500
Se 0.9352 0.0904 0.4188
Se 0.9352 0.4096 0.9188

Output
Calculated total energy   -4.59 eV/atom
Spin magnetization   0.45 μB/atom
Formation energy without anion corrections   -625 meV per atom

=====

# KMnZnSe3

An optimized crystal structure of KMnZnSe3 (PBEsol, the Alexandria database).

a b c (Å): 7.4757 7.4757 10.1800
angles (deg): 90.00 90.00 150.51
Positions (direct):
K 0.2495 0.7505 0.7500
K 0.7505 0.2495 0.2500
Mn 0.5000 0.5000 0.0000
Mn 0.5000 0.5000 0.5000
Zn 0.0384 0.9616 0.2500
Zn 0.9616 0.0384 0.7500
Se 0.1172 0.8828 0.0410
Se 0.1172 0.8828 0.4590
Se 0.4351 0.5649 0.2500
Se 0.5649 0.4351 0.7500
Se 0.8828 0.1172 0.5410
Se 0.8828 0.1172 0.9590

Output
Calculated total energy   -4.66 eV/atom
Spin magnetization   0.67 μB/atom
Formation energy without anion corrections   -660 meV per atom
D(E_F)   3.70 states/eV per cell

=====

# KMn2Si

An optimized crystal structure of KMn2Si (PBEsol, the Alexandria database).

a b c (Å): 2.9605 2.9605 8.2115
angles (deg): 90.00 90.00 90.00
Positions (direct):
K 0.0000 0.0000 0.0000
Mn 0.5000 0.5000 0.3460
Mn 0.5000 0.5000 0.6540
Si 0.0000 0.0000 0.5000

Output
Calculated total energy   -6.05 eV/atom
Spin magnetization   1.46 μB/atom
Formation energy without anion corrections   546 meV per atom
D(E_F)   3.57 states/eV per cell

=====

# KMn2Si

An optimized crystal structure of KMn2Si (PBEsol, the Alexandria database).

a b c (Å): 9.5987 9.5987 9.5987
angles (deg): 16.06 16.06 16.06
Positions (direct):
K 0.0000 0.0000 0.0000
Mn 0.2319 0.2319 0.2319
Mn 0.7681 0.7681 0.7681
Si 0.5000 0.5000 0.5000

Output
Calculated total energy   -5.84 eV/atom
Spin magnetization   0.63 μB/atom
Formation energy without anion corrections   765 meV per atom
D(E_F)   3.72 states/eV per cell

=====

# KMn2Si

An optimized crystal structure of KMn2Si (PBEsol, the Alexandria database).

a b c (Å): 2.8019 4.7125 5.2362
angles (deg): 90.00 90.00 90.00
Positions (direct):
K 0.0000 0.0000 0.0000
Mn 0.0000 0.5000 0.5000
Mn 0.5000 0.5000 0.0000
Si 0.5000 0.0000 0.5000

Output
Calculated total energy   -5.49 eV/atom
Spin magnetization   1.75 μB/atom
Formation energy without anion corrections   1112 meV per atom
D(E_F)   3.49 states/eV per cell

=====

# K4MnSi

An optimized crystal structure of K4MnSi (PBEsol, the Alexandria database).

a b c (Å): 6.7309 6.7309 6.7309
angles (deg): 60.00 60.00 60.00
Positions (direct):
K 0.3762 0.3762 0.3762
K 0.3762 0.3762 0.8713
K 0.3762 0.8713 0.3762
K 0.8713 0.3762 0.3762
Mn 0.0000 0.0000 0.0000
Si 0.7500 0.7500 0.7500

Output
Calculated total energy   -2.34 eV/atom
Spin magnetization   0.82 μB/atom
Formation energy without anion corrections   1000 meV per atom
D(E_F)   4.99 states/eV per cell

=====

# K2SrMn

An optimized crystal structure of K2SrMn (PBEsol, the Alexandria database).

a b c (Å): 4.0565 4.0565 11.1241
angles (deg): 90.00 90.00 90.00
Positions (direct):
K 0.0000 0.0000 0.0000
K 0.5000 0.5000 0.3371
Sr 0.5000 0.5000 0.6951
Mn 0.0000 0.0000 0.5461

Output
Calculated total energy   -2.87 eV/atom
Spin magnetization   0.96 μB/atom
E_form   0.593 eV per atom
D(E_F)   4.62 states/eV per cell

=====

# KSrMn2

An optimized crystal structure of KSrMn2 (PBEsol, the Alexandria database).

a b c (Å): 3.5466 3.5466 9.6345
angles (deg): 90.00 90.00 90.00
Positions (direct):
K 0.0000 0.0000 0.0000
Sr 0.5000 0.5000 0.5983
Mn 0.0000 0.0000 0.3793
Mn 0.5000 0.5000 0.2720

Output
Calculated total energy   -4.76 eV/atom
Spin magnetization   1.93 μB/atom
E_form   0.863 eV per atom
D(E_F)   4.47 states/eV per cell

=====

# K2SrMn

An optimized crystal structure of K2SrMn (PBEsol, the Alexandria database).

a b c (Å): 3.9450 3.9450 11.7585
angles (deg): 90.00 90.00 90.00
Positions (direct):
K 0.0000 0.0000 0.2004
K 0.0000 0.0000 0.7996
Sr 0.5000 0.5000 0.5000
Mn 0.5000 0.5000 0.0000

Output
Calculated total energy   -2.68 eV/atom
Spin magnetization   1.11 μB/atom
E_form   0.792 eV per atom
D(E_F)   4.87 states/eV per cell